Record 1
The following is a PBE calculation of an optimized crystal structure of AcNd2Y6Er, from the Alexandria database.

Values from the calculation:
Energy in eV per formula unit: -56.02
Formation enthalpy at 0 K in eV/atom: 0.097
Total magnetic moment in Bohr magnetons per cell: 0.00
Symmetry: P2_1/c (14)

```
20
Lattice="-7.229 -4.374 -4.531 4.123 -8.504 1.631 -3.735 -0.565 6.498" Properties=species:S:1:pos:R:3 pbc="T T T"
Y 0.869 -8.197 4.130
Y -1.035 -8.638 7.340
Y -6.326 -6.153 2.358
Nd -2.387 -7.587 4.487
Y -5.806 -4.804 -3.741
Nd -4.454 -5.856 -0.888
Y -1.480 -2.372 1.122
Y -5.603 -8.625 4.723
Ac -5.482 -2.469 0.984
Y -0.515 -7.289 1.241
Nd -3.334 -2.659 4.379
Er 0.194 -4.534 4.065
Ac 2.062 -4.252 0.815
Y -3.874 -8.291 1.394
Y -1.238 -4.818 -1.124
Nd -3.507 -10.784 -0.780
Y -7.710 -5.246 -0.531
Er -3.615 -2.187 -2.265
Y -2.967 -5.152 2.205
Y -5.361 -11.071 2.477
```

=====

Record 2
The following is a PBE calculation of an optimized crystal structure of AcNd2Y2Er2, from the Alexandria database.

Values from the calculation:
Energy in eV per formula unit: -35.41
Formation enthalpy at 0 K in eV/atom: 0.042
Total magnetic moment in Bohr magnetons per cell: 0.00
Symmetry: C2/m (12)

```
7
Lattice="-3.381 0.810 -3.802 2.131 -5.949 0.328 -6.149 -0.721 5.315" Properties=species:S:1:pos:R:3 pbc="T T T"
Ac 0.000 0.000 0.000
Er -1.431 -4.940 0.220
Nd -4.981 -3.764 3.628
Nd -2.418 -2.095 -1.787
Y -2.534 -1.887 1.852
Y -4.865 -3.972 -0.011
Er -5.968 -0.920 1.621
```

=====

Record 3
The following is a PBE calculation of an optimized crystal structure of AcNd2YEr, from the Alexandria database.

Values from the calculation:
Energy in eV per formula unit: -22.87
Formation enthalpy at 0 K in eV/atom: 0.360
Total magnetic moment in Bohr magnetons per cell: 0.00
Symmetry: Cmcm (63)

```
10
Lattice="-0.190 -7.292 -1.149 0.465 -1.335 8.393 -6.301 0.770 -3.844" Properties=species:S:1:pos:R:3 pbc="T T T"
Y -5.447 -6.043 3.656
Ac -3.130 -5.418 -0.688
Er -3.721 -1.761 -0.074
Nd 0.228 -4.572 5.248
Nd 0.142 -0.409 2.570
Nd 0.323 -0.926 5.823
Ac -2.897 -2.438 4.088
Er -2.305 -6.096 3.474
Y -0.579 -1.814 -0.256
Nd 0.047 -4.055 1.996
```

=====

Record 4
The following is a PBE calculation of an optimized crystal structure of AcNd5Y2Er, from the Alexandria database.

Values from the calculation:
Energy in eV per formula unit: -44.72
Formation enthalpy at 0 K in eV/atom: 0.079
Total magnetic moment in Bohr magnetons per cell: 0.00
Symmetry: Cmc2_1 (36)

```
18
Lattice="-4.568 1.752 3.220 3.238 -7.925 3.579 7.551 6.360 7.252" Properties=species:S:1:pos:R:3 pbc="T T T"
Nd 0.658 -0.419 1.162
Er 7.460 2.320 9.322
Nd 2.302 3.497 6.689
Er 1.392 0.084 7.256
Y 3.425 1.099 4.261
Y 5.436 1.312 12.325
Nd 6.590 -1.085 9.940
Nd 1.463 -5.379 5.002
Nd 2.867 -1.664 10.299
Nd 3.656 1.685 9.596
Y 0.639 -3.531 8.155
Ac 3.931 -2.717 7.055
Nd -0.127 1.476 4.343
Nd -0.788 -2.061 5.330
Y 5.983 4.057 6.281
Nd 2.099 -1.891 4.007
Ac 4.912 5.112 9.513
Nd 5.205 0.729 6.988
```

=====

Record 5
The following is a PBE calculation of an optimized crystal structure of AcErNi2, from the Alexandria database.

Values from the calculation:
Energy in eV per formula unit: -21.22
Relative energy among the computed polymorphs in meV per atom: 16
Formation enthalpy at 0 K in eV/atom: -0.245
Total magnetic moment in Bohr magnetons per cell: 0.00
Symmetry: P4/mmm (123)

```
4
Lattice="-0.935 0.646 3.342 1.519 -3.022 1.009 5.996 3.357 1.030" Properties=species:S:1:pos:R:3 pbc="T T T"
Ac 3.290 0.490 2.690
Ni 1.245 0.697 0.214
Ni 4.751 2.660 0.816
Er 0.292 -1.188 2.175
```

=====

Record 6
The following is a PBE calculation of an optimized crystal structure of AcErNi2, from the Alexandria database.

Values from the calculation:
Energy in eV per formula unit: -21.03
Relative energy among the computed polymorphs in meV per atom: 63
Formation enthalpy at 0 K in eV/atom: -0.199
Total magnetic moment in Bohr magnetons per cell: 0.00
Symmetry: Fm-3m (225)

```
4
Lattice="4.984 0.000 0.000 2.492 4.317 0.000 2.492 1.439 4.070" Properties=species:S:1:pos:R:3 pbc="T T T"
Ni 2.492 1.439 1.017
Ni 7.477 4.317 3.052
Ac 4.984 2.878 2.035
Er 0.000 0.000 0.000
```

=====

Record 7
The following is a PBE calculation of an optimized crystal structure of AcErNi, from the Alexandria database.

Values from the calculation:
Energy in eV per formula unit: -14.85
Relative energy among the computed polymorphs in meV per atom: 74
Formation enthalpy at 0 K in eV/atom: -0.134
Total magnetic moment in Bohr magnetons per cell: 0.00
Symmetry: I4mm (107)

```
3
Lattice="3.571 0.000 0.000 0.000 3.571 0.000 -1.785 -1.785 6.411" Properties=species:S:1:pos:R:3 pbc="T T T"
Ac 0.000 0.000 0.345
Er 0.000 0.000 3.706
Ni 1.785 1.785 2.360
```

=====

Record 8
The following is a PBE calculation of an optimized crystal structure of AcErNi4, from the Alexandria database.

Values from the calculation:
Energy in eV per formula unit: -33.50
Relative energy among the computed polymorphs in meV per atom: 7
Formation enthalpy at 0 K in eV/atom: -0.284
Total magnetic moment in Bohr magnetons per cell: 0.00
Symmetry: P-3m1 (164)

```
12
Lattice="-0.559 -3.992 -3.232 -2.081 -0.190 4.725 -7.327 3.524 -3.085" Properties=species:S:1:pos:R:3 pbc="T T T"
Ni -2.775 -2.421 -2.750
Ni -3.829 -2.518 -0.357
Er -5.091 -0.789 -2.274
Er -4.877 0.131 0.682
Ni -3.664 1.762 -1.543
Ac -7.786 0.507 -3.409
Ni -7.475 -0.259 -0.478
Ac -2.181 -1.165 1.817
Ni -6.138 1.859 -1.234
Ni -7.192 1.763 1.158
Ni -2.492 -0.400 -1.114
Ni 0.000 0.000 0.000
```

=====

Record 9
The following is a PBE calculation of an optimized crystal structure of AcErNi2, from the Alexandria database.

Values from the calculation:
Energy in eV per formula unit: -21.28
Relative energy among the computed polymorphs in meV per atom: 0
Formation enthalpy at 0 K in eV/atom: -0.262
Total magnetic moment in Bohr magnetons per cell: 0.00
Symmetry: R-3m (166)

```
4
Lattice="4.569 0.000 0.000 2.285 3.957 0.000 2.285 1.319 5.108" Properties=species:S:1:pos:R:3 pbc="T T T"
Ni 2.285 1.319 1.856
Ac 0.000 0.000 0.000
Ni 6.854 3.957 3.252
Er 4.569 2.638 2.554
```

=====

Record 10
The following is a PBE calculation of an optimized crystal structure of AcErNi, from the Alexandria database.

Values from the calculation:
Energy in eV per formula unit: -15.08
Relative energy among the computed polymorphs in meV per atom: 0
Formation enthalpy at 0 K in eV/atom: -0.208
Total magnetic moment in Bohr magnetons per cell: 0.00
Symmetry: Fdd2 (43)

```
12
Lattice="-0.888 5.930 5.199 -6.439 -1.701 -3.084 -5.322 -1.932 5.561" Properties=species:S:1:pos:R:3 pbc="T T T"
Er -8.541 -0.195 5.004
Er -5.346 0.671 6.589
Ac -7.271 3.247 4.097
Ac -4.360 4.296 6.173
Ac -7.156 3.401 8.849
Ni -9.410 -2.645 3.913
Ni -10.875 0.858 5.723
Er -9.564 -2.385 1.271
Er -4.152 2.412 2.674
Ni -5.752 0.484 3.968
Ac -6.962 0.353 1.393
Ni -2.071 0.911 1.976
```

=====

Record 11
The following is a PBE calculation of an optimized crystal structure of AcErNi4, from the Alexandria database.

Values from the calculation:
Energy in eV per formula unit: -33.54
Relative energy among the computed polymorphs in meV per atom: 0
Formation enthalpy at 0 K in eV/atom: -0.291
Total magnetic moment in Bohr magnetons per cell: 0.00
Symmetry: F-43m (216)

```
6
Lattice="-5.132 0.687 -0.416 -3.207 -2.262 3.403 -2.526 2.887 3.502" Properties=species:S:1:pos:R:3 pbc="T T T"
Ni -6.777 0.818 4.048
Er -2.716 0.328 1.622
Ac 0.000 0.000 0.000
Ni -4.237 0.478 4.254
Ni -5.189 1.938 2.363
Ni -5.527 -0.611 2.314
```

=====

Record 12
The following is a PBE calculation of an optimized crystal structure of Ac2ErNi9, from the Alexandria database.

Values from the calculation:
Energy in eV per formula unit: -67.79
Formation enthalpy at 0 K in eV/atom: -0.248
Total magnetic moment in Bohr magnetons per cell: 1.14
Symmetry: R-3m (166)

```
12
Lattice="5.045 0.000 0.000 2.522 4.369 0.000 2.522 1.456 8.570" Properties=species:S:1:pos:R:3 pbc="T T T"
Ni 2.522 1.456 0.016
Er 0.000 0.000 0.000
Ni 6.301 3.638 6.610
Ni 7.567 4.369 8.554
Ni 5.045 2.913 4.285
Ni 5.045 4.363 1.960
Ni 6.301 2.187 1.960
Ni 5.045 1.462 6.610
Ni 3.789 2.187 1.960
Ac 7.567 4.369 3.469
Ac 2.522 1.456 5.101
Ni 3.789 3.638 6.610
```

=====

Record 13
The following is a PBE calculation of an optimized crystal structure of AcErNi, from the Alexandria database.

Values from the calculation:
Energy in eV per formula unit: -14.84
Relative energy among the computed polymorphs in meV per atom: 79
Formation enthalpy at 0 K in eV/atom: -0.130
Total magnetic moment in Bohr magnetons per cell: 0.00
Symmetry: P3m1 (156)

```
3
Lattice="6.360 0.000 0.000 0.000 4.086 0.000 0.000 -2.043 3.538" Properties=species:S:1:pos:R:3 pbc="T T T"
Er 4.892 2.043 1.179
Ac 1.605 0.000 2.359
Ni 6.222 0.000 0.000
```

=====

Record 14
The following is a PBE calculation of an optimized crystal structure of AcErNi, from the Alexandria database.

Values from the calculation:
Energy in eV per formula unit: -14.99
Relative energy among the computed polymorphs in meV per atom: 30
Formation enthalpy at 0 K in eV/atom: -0.178
Total magnetic moment in Bohr magnetons per cell: 0.00
Symmetry: P-1 (2)

```
6
Lattice="-2.906 -0.883 2.301 -1.400 -5.262 -3.790 6.760 -1.241 4.936" Properties=species:S:1:pos:R:3 pbc="T T T"
Ac -2.553 -3.271 0.256
Er 1.836 -2.254 3.028
Ni -0.886 -2.713 2.574
Ni -1.782 -6.072 0.148
Er -1.598 -5.647 -2.608
Ac 2.791 -4.631 0.166
```